Entry 1:
Below is a relaxed Ti2Co2S crystal, with properties calculated at the GGA-PBE level.

The space group is P4/mbm (No. 127) and the conventional cell measures 6.526, 6.526 and 3.128 Å, with angles of 90.00, 90.00 and 90.00 degrees. Symmetry generates all atoms from Ti at (0.170, 0.330, 0.000), Co at (0.131, 0.631, 0.500) and S at (0.000, 0.000, 0.500).

The crystal system is tetragonal. The value obtained for the formation energy from raw total energies is -1.560 eV/f.u. The distance to the lowest polymorph of the same formula comes out at 0 meV/atom. The total energy comes out at -7.1378 eV per atom.

---

Entry 2:
Below is a relaxed TiCoS2 crystal, with properties calculated at the GGA-PBE level.

The space group is Fm-3m (No. 225) and the conventional cell measures 5.974, 5.974 and 5.974 Å, with angles of 90.00, 90.00 and 90.00 degrees. Symmetry generates all atoms from Ti at (0.000, 0.000, 0.000), Co at (0.000, 0.000, 0.500) and S at (0.250, 0.250, 0.250).

The crystal system is cubic. The value obtained for the formation energy from raw total energies is -1.884 eV/f.u. The distance to the lowest polymorph of the same formula comes out at 476 meV/atom. The total energy comes out at -6.2850 eV per atom.

---

Question: Look up the distance to the lowest polymorph of the same formula of the first one.
Answer: 0 meV/atom

---

Please write out number 1 again, unchanged.
Below is a relaxed Ti2Co2S crystal, with properties calculated at the GGA-PBE level.

The space group is P4/mbm (No. 127) and the conventional cell measures 6.526, 6.526 and 3.128 Å, with angles of 90.00, 90.00 and 90.00 degrees. Symmetry generates all atoms from Ti at (0.170, 0.330, 0.000), Co at (0.131, 0.631, 0.500) and S at (0.000, 0.000, 0.500).

The crystal system is tetragonal. The value obtained for the formation energy from raw total energies is -1.560 eV/f.u. The distance to the lowest polymorph of the same formula comes out at 0 meV/atom. The total energy comes out at -7.1378 eV per atom.

---

Question: Which of these has the highest formation energy from raw total energies?
Answer: Ti2Co2S